No. 1
The following is a PBE calculation of a geometry-optimized SnPO4 structure, from the Alexandria database.

Lattice parameters (Å, degrees): 4.9346 8.2314 18.4052 90.00 90.00 90.00
Last column: nearest neighbours and their distance in Å.
Atoms (fractional coordinates):
Sn1 0.9712 0.3127 0.0485  5 O 2.00-2.06
Sn2 0.4712 0.6873 0.9515  5 O 2.00-2.06
Sn3 0.4712 0.1873 0.5485  5 O 2.00-2.06
Sn4 0.5653 0.0643 0.7765  3 O 2.17-2.27
Sn5 0.9712 0.8127 0.4515  5 O 2.00-2.06
Sn6 0.5653 0.5643 0.7235  3 O 2.17-2.27
Sn7 0.0653 0.9357 0.2235  3 O 2.17-2.27
Sn8 0.0653 0.4357 0.2765  3 O 2.17-2.27
P1 0.4440 0.7329 0.3399  4 O 1.54-1.58
P2 0.4283 0.2772 0.9390  4 O 1.52-1.58
P3 0.4440 0.2329 0.1601  4 O 1.54-1.58
P4 0.9440 0.2671 0.6601  4 O 1.54-1.58
P5 0.9283 0.2228 0.4390  4 O 1.52-1.58
P6 0.9283 0.7228 0.0610  4 O 1.52-1.58
P7 0.4283 0.7772 0.5610  4 O 1.52-1.58
P8 0.9440 0.7671 0.8399  4 O 1.54-1.58
O1 0.2216 0.7426 0.0334  1 P 1.54
O2 0.2908 0.8656 0.3864  1 P 1.58
O3 0.2908 0.3656 0.1136  1 P 1.58
O4 0.7216 0.2574 0.9666  1 P 1.54
O5 0.9242 0.7673 0.1411  1 P 1.52
O6 0.2311 0.1736 0.9864  1 P 1.56
O7 0.9250 0.7151 0.7597  1 P 1.54
O8 0.2311 0.6736 0.5136  1 P 1.56
O9 0.8207 0.4362 0.6463  1 P 1.54
O10 0.7908 0.1344 0.6136  1 P 1.58
O11 0.8217 0.0440 0.4522  1 P 1.58
O12 0.2505 0.2696 0.6355  1 P 1.58
O13 0.3217 0.4560 0.9522  1 P 1.58
O14 0.8207 0.9362 0.8537  1 P 1.54
O15 0.2505 0.7696 0.8645  1 P 1.58
O16 0.7216 0.7574 0.5334  1 P 1.54
O17 0.7311 0.8264 0.0136  1 P 1.56
O18 0.7505 0.2304 0.1355  1 P 1.58
O19 0.3217 0.9560 0.5478  1 P 1.58
O20 0.4242 0.2327 0.8589  1 P 1.52
O21 0.4250 0.2849 0.2403  1 P 1.54
O22 0.9250 0.2151 0.7403  1 P 1.54
O23 0.7908 0.6344 0.8864  1 P 1.58
O24 0.7311 0.3264 0.4864  1 P 1.56
O25 0.3207 0.0638 0.1463  1 P 1.54
O26 0.9242 0.2673 0.3589  1 P 1.52
O27 0.2216 0.2426 0.4666  1 P 1.54
O28 0.7505 0.7304 0.3645  1 P 1.58
O29 0.3207 0.5638 0.3537  1 P 1.54
O30 0.4242 0.7327 0.6411  1 P 1.52
O31 0.8217 0.5440 0.0478  1 P 1.58
O32 0.4250 0.7849 0.2597  1 P 1.54

## Properties
Fermi-level density of states: 0.000 states/eV/cell
uncorrected formation energy: -1.888 eV per atom

No. 2
The following is a PBE calculation of a geometry-optimized Y2PuMn structure, from the Alexandria database.

Lattice parameters (Å, degrees): 3.4658 3.4658 8.7448 90.00 90.00 90.00
Last column: nearest neighbours and their distance in Å.
Atoms (fractional coordinates):
Y1 0.0000 0.0000 0.7967  4 Mn 3.03
Y2 0.0000 0.0000 0.2033  4 Mn 3.03
Mn1 0.5000 0.5000 0.0000  8 Y 3.03
Pu1 0.5000 0.5000 0.5000  4 Pu 3.47, 8 Y 3.57

## Properties
Fermi-level density of states: 9.275 states/eV/cell
DFT formation energy: 0.1914 eV per atom